4
Lattice="2.066 1.193 8.309 -2.066 1.193 8.309 0.000 -2.386 8.309" Properties=species:S:1:pos:R:3 comment="Sr2SiPt, relaxed, DFT PBE" formation_energy_uncorrected_ev_per_atom=-0.252 pbc="T T T"
Sr 0.000 0.000 6.023
Sr 0.000 0.000 18.904
Si 0.000 0.000 0.000
Pt 0.000 0.000 12.464



6
Lattice="3.553 0.000 0.000 0.000 3.553 0.000 0.000 0.000 13.653" Properties=species:S:1:pos:R:3 comment="Tb4TmZn, relaxed, DFT PBE" de_polymorph_kj_per_mol_fu=0 delta_e_f_mev_per_atom=-100 pbc="T T T"
Tb 0.000 0.000 1.795
Tb 0.000 0.000 11.858
Tb 1.777 1.777 4.350
Tb 1.777 1.777 9.303
Tm 0.000 0.000 6.826
Zn 1.777 1.777 0.000



6
Lattice="3.427 0.000 0.000 0.013 4.260 0.000 0.023 1.198 5.197" Properties=species:S:1:pos:R:3 comment="LiGaC, relaxed, DFT PBE" delta_e_f_mev_per_atom=150 pbc="T T T"
Li 0.014 1.686 1.222
Li 3.448 3.773 3.975
Ga 1.729 3.726 1.748
Ga 1.733 1.733 3.449
C 0.024 1.558 4.591
C 3.439 3.901 0.606



5
Lattice="-2.434 2.434 6.454 2.434 -2.434 6.454 2.434 2.434 -6.454" Properties=species:S:1:pos:R:3 comment="BaCa2Cu2, relaxed, DFT PBE" de_polymorph_kj_per_mol_fu=10 delta_e_f_mev_per_atom=6 pbc="T T T"
Ba 0.000 0.000 0.000
Ca 2.434 0.000 3.227
Ca 0.000 2.434 3.227
Cu 0.000 0.000 5.191
Cu 0.000 0.000 7.718



4
Lattice="5.026 0.000 0.000 0.000 4.733 0.000 -2.493 0.000 6.399" Properties=species:S:1:pos:R:3 comment="BaFeTe2, relaxed, DFT PBE" formation_energy_uncorrected_ev_per_atom=-0.601 pbc="T T T"
Ba 0.000 0.000 0.000
Fe 0.021 2.367 4.765
Te 0.015 0.000 3.649
Te 2.514 2.367 0.887



4
Lattice="3.295 0.000 0.000 0.000 3.295 0.000 0.000 0.000 5.877" Properties=species:S:1:pos:R:3 comment="BeAl2Se, relaxed, DFT PBE" formation_energy_uncorrected_ev_per_atom=0.237 de_polymorph_kj_per_mol_fu=74 pbc="T T T"
Be 0.000 0.000 0.000
Al 1.648 1.648 1.344
Al 1.648 1.648 4.533
Se 0.000 0.000 2.939



4
Lattice="2.989 -4.196 0.000 2.989 4.196 0.000 -1.536 0.000 2.628" Properties=species:S:1:pos:R:3 comment="SiSbOs2, relaxed, DFT PBE" formation_energy_uncorrected_ev_per_atom=0.708 de_polymorph_kj_per_mol_fu=208 pbc="T T T"
Si 0.000 0.000 0.000
Sb 2.989 0.000 0.000
Os 1.495 2.098 0.000
Os 1.495 -2.098 0.000



10
Lattice="4.220 0.000 0.000 0.000 4.220 0.000 0.000 0.000 11.441" Properties=species:S:1:pos:R:3 comment="Na2Zn4HgGe3, relaxed, DFT PBE" delta_e_f_mev_per_atom=-42 pbc="T T T"
Na 0.000 2.110 2.706
Na 2.110 0.000 8.735
Zn 0.000 0.000 0.000
Zn 0.000 2.110 7.475
Zn 2.110 0.000 3.966
Zn 2.110 2.110 0.000
Hg 0.000 0.000 5.720
Ge 0.000 2.110 9.923
Ge 2.110 0.000 1.518
Ge 2.110 2.110 5.720



Taking the records one at a time from the top gives DOS(E_F) values of 2.14; 7.14; 1.12; 3.26; 1.39; 2.01; 3.16; 2.88 states/eV per cell.
Taking the records one at a time from the top gives uncorrected energy values of -15.83; -24.87; -27.43; -14.09; -19.07; -13.75; -29.17; -22.31 eV/cell.
Taking the records one at a time from the top gives V values of 30.7; 28.7; 12.6; 30.6; 38.1; 16.0; 16.5; 20.4 Å³ per atom.